A plane-wave DFT calculation with PBE was carried out for an optimized crystal structure of Pu3Ag5I12.

Geometry as CIF:
```
data_Pu3Ag5I12
_symmetry_space_group_name_H-M 'I a -3 d'
_symmetry_Int_Tables_number 230
_symmetry_space_group_name_Hall '-I 4bd 2c 3'
_cell_length_a 18.131
_cell_length_b 18.131
_cell_length_c 18.131
_cell_angle_alpha 90.00
_cell_angle_beta 90.00
_cell_angle_gamma 90.00
loop_
_atom_site_label
_atom_site_type_symbol
_atom_site_fract_x
_atom_site_fract_y
_atom_site_fract_z
Pu1 Pu 0.000 0.250 0.125
Ag1 Ag 0.000 0.000 0.000
Ag2 Ag 0.000 0.250 0.375
I1 I 0.025 0.066 0.652
```

Computed properties:
- Magnetic moment: 17.00 μB/f.u.
- Formation energy from raw total energies: -0.59 eV/atom